Entry 1:
Nd4Co2Ag after structural relaxation, computed with PBE-GGA.

SG: Cmcm (63)
Uncorrected energy, eV per atom: -5.114
Energy above the lowest structure with this stoichiometry, meV/atom: 65

Cell: 5.685 5.685 18.962 Å, 90.00 90.00 139.09°
Sites, in units of the cell vectors:
Nd (0.000, 0.000, 0.000)
Nd (0.000, 0.000, 0.500)
Nd (0.285, 0.715, 0.628)
Nd (0.285, 0.715, 0.872)
Nd (0.422, 0.578, 0.250)
Nd (0.578, 0.422, 0.750)
Nd (0.715, 0.285, 0.128)
Nd (0.715, 0.285, 0.372)
Co (0.284, 0.716, 0.019)
Co (0.284, 0.716, 0.481)
Co (0.716, 0.284, 0.519)
Co (0.716, 0.284, 0.981)
Ag (0.134, 0.866, 0.250)
Ag (0.866, 0.134, 0.750)

***

Entry 2:
Nd3CoAg after structural relaxation, computed with PBE-GGA.

SG: Pm-3m (221)
Uncorrected energy, eV per atom: -4.809
Energy above the lowest structure with this stoichiometry, meV/atom: 169

Cell: 5.295 5.295 5.295 Å, 90.00 90.00 90.00°
Sites, in units of the cell vectors:
Nd (0.000, 0.000, 0.500)
Nd (0.000, 0.500, 0.000)
Nd (0.500, 0.000, 0.000)
Co (0.000, 0.000, 0.000)
Ag (0.500, 0.500, 0.500)

***

Results for formation energy: 5 4 (in kJ per mole of atoms, following the order of the records).
Results for calculated volume: 401.4 148.4 (in Å³/cell, following the order of the records).
Results for N(E_F): 16.25 5.39 (in states/eV per cell, following the order of the records).